Record 1
A plane-wave DFT calculation with PBE was carried out for a relaxed Pt2RhPbO8 crystal.

Final energy in eV/cell: -64.83
Formation energy (no corrections) in meV/atom: -169
Symmetry: P-3, No. 147

Cell lengths 5.597, 5.597, 6.152 Å; angles 90.00, 90.00, 120.00 degrees
Positions (direct):
O (0.333, 0.667, 0.638)
O (0.641, 0.702, 0.142)
O (0.298, 0.938, 0.142)
O (0.667, 0.333, 0.362)
O (0.938, 0.641, 0.858)
O (0.062, 0.359, 0.142)
O (0.702, 0.062, 0.858)
O (0.359, 0.298, 0.858)
Pt (0.333, 0.667, 0.949)
Pt (0.667, 0.333, 0.051)
Rh (0.000, 0.000, 0.000)
Pb (0.000, 0.000, 0.500)


Record 2
A plane-wave DFT calculation with PBE was carried out for a relaxed CaAl8Cu2 crystal.

Final energy in eV/cell: -38.12
Energy of formation from the pure elements in kJ/mol of atoms: 17.7
Symmetry: P4/mmm, No. 123

Cell lengths 5.624, 5.624, 8.174 Å; angles 90.00, 90.00, 90.00 degrees
Positions (direct):
Cu (0.000, 0.500, 0.000)
Cu (0.500, 0.000, 0.000)
Al (0.752, 0.248, 0.182)
Al (0.752, 0.248, 0.818)
Al (0.752, 0.752, 0.182)
Al (0.248, 0.752, 0.818)
Al (0.248, 0.752, 0.182)
Al (0.248, 0.248, 0.182)
Al (0.752, 0.752, 0.818)
Al (0.248, 0.248, 0.818)
Ca (0.500, 0.500, 0.500)


Record 3
A plane-wave DFT calculation with PBE was carried out for a relaxed ScTaInC2 crystal.

Final energy in eV/cell: -32.57
Energy of formation from the pure elements in kJ/mol of atoms: 131.2
Symmetry: P4/mmm, No. 123

Cell lengths 4.247, 5.522, 4.247 Å; angles 90.00, 90.00, 90.00 degrees
Positions (direct):
Sc (0.000, 0.500, 0.000)
C (0.500, 0.000, 0.000)
C (0.000, 0.000, 0.500)
Ta (0.000, 0.000, 0.000)
In (0.500, 0.500, 0.500)


Record 4
A plane-wave DFT calculation with PBE was carried out for a relaxed FeRuSe2 crystal.

Final energy in eV/cell: -22.59
Formation energy (no corrections) in meV/atom: 528
Polymorph energy (0 for the lowest one) in meV/atom: 753
Symmetry: Pmmm, No. 47

Cell lengths 3.143, 5.936, 3.819 Å; angles 90.00, 90.00, 90.00 degrees
Positions (direct):
Se (0.500, 0.500, 0.000)
Se (0.000, 0.000, 0.000)
Ru (0.000, 0.500, 0.500)
Fe (0.500, 0.000, 0.500)


Record 5
A plane-wave DFT calculation with PBE was carried out for a relaxed ZrAsAu crystal.

Final energy in eV/cell: -72.33
Energy of formation from the pure elements in kJ/mol of atoms: -51.7
Symmetry: Cm, No. 8

Cell lengths 6.597, 3.830, 10.866 Å; angles 90.00, 114.75, 90.00 degrees
Positions (direct):
As (0.600, 0.500, 0.931)
As (0.133, 0.500, 0.613)
As (0.600, 0.000, 0.431)
As (0.133, 0.000, 0.113)
Au (0.347, 0.000, 0.952)
Au (0.882, 0.000, 0.697)
Au (0.882, 0.500, 0.197)
Au (0.347, 0.500, 0.452)
Zr (0.985, 0.500, 0.911)
Zr (0.464, 0.000, 0.721)
Zr (0.464, 0.500, 0.221)
Zr (0.985, 0.000, 0.411)


Record 6
A plane-wave DFT calculation with PBE was carried out for a relaxed PrAgGeAu crystal.

Final energy in eV/cell: -17.28
Energy of formation from the pure elements in kJ/mol of atoms: -42.3
Symmetry: F-43m, No. 216

Cell lengths 4.979, 4.979, 4.979 Å; angles 60.00, 60.00, 60.00 degrees
Positions (direct):
Pr (0.250, 0.250, 0.250)
Au (0.500, 0.500, 0.500)
Ge (0.000, 0.000, 0.000)
Ag (0.750, 0.750, 0.750)